No. 1
# K2RuCl (PBE-GGA, optimized geometry)
# **Energy relative to the elements, uncorrected**: 4.633 kcal/mol of atoms
# **Polymorph energy (0 for the lowest one)**: 0.73 eV per formula unit
data_K2RuCl
_cell_length_a 6.7177
_cell_length_b 6.7177
_cell_length_c 6.7177
_cell_angle_alpha 150.66
_cell_angle_beta 130.96
_cell_angle_gamma 58.18
_symmetry_space_group_name_H-M 'P 1'
_symmetry_Int_Tables_number 1
_symmetry_space_group_name_Hall 'P 1'
loop_
_atom_site_label
_atom_site_fract_x
_atom_site_fract_y
_atom_site_fract_z
_atom_site_occupancy
K1 0.0387 0.0387 0.0000 1
K2 0.7371 0.2371 0.5000 1
Cl1 0.2922 0.7922 0.5000 1
Ru1 0.4321 0.4321 0.0000 1



No. 2
# KRu2Cl (PBE-GGA, optimized geometry)
# **Energy relative to the elements, uncorrected**: 4.455 kcal/mol of atoms
# **Polymorph energy (0 for the lowest one)**: 0.26 eV per formula unit
data_KRu2Cl
_cell_length_a 3.0750
_cell_length_b 3.1489
_cell_length_c 8.2355
_cell_angle_alpha 90.00
_cell_angle_beta 90.00
_cell_angle_gamma 90.00
_symmetry_space_group_name_H-M 'P 1'
_symmetry_Int_Tables_number 1
_symmetry_space_group_name_Hall 'P 1'
loop_
_atom_site_label
_atom_site_fract_x
_atom_site_fract_y
_atom_site_fract_z
_atom_site_occupancy
Ru1 0.0000 0.0000 0.0717 1
Ru2 0.5000 0.5000 0.2207 1
Cl1 0.0000 0.0000 0.4787 1
K1 0.5000 0.5000 0.7289 1



No. 3
# K3Ru2Cl9 (PBE-GGA, optimized geometry)
# **Energy relative to the elements, uncorrected**: -26.851 kcal/mol of atoms
data_K3Ru2Cl9
_cell_length_a 7.0718
_cell_length_b 7.0718
_cell_length_c 17.3648
_cell_angle_alpha 90.00
_cell_angle_beta 90.00
_cell_angle_gamma 120.00
_symmetry_space_group_name_H-M 'P 1'
_symmetry_Int_Tables_number 1
_symmetry_space_group_name_Hall 'P 1'
loop_
_atom_site_label
_atom_site_fract_x
_atom_site_fract_y
_atom_site_fract_z
_atom_site_occupancy
K1 0.3333 0.6667 0.4399 1
K2 0.3333 0.6667 0.0601 1
K3 0.6667 0.3333 0.5601 1
K4 0.0000 0.0000 0.7500 1
K5 0.6667 0.3333 0.9399 1
K6 0.0000 0.0000 0.2500 1
Cl1 0.3529 0.1765 0.0948 1
Cl2 0.1765 0.3529 0.5948 1
Cl3 0.8235 0.1765 0.4052 1
Cl4 0.4965 0.5035 0.7500 1
Cl5 0.8235 0.1765 0.0948 1
Cl6 0.3529 0.1765 0.4052 1
Cl7 0.5035 0.0069 0.2500 1
Cl8 0.9931 0.4965 0.2500 1
Cl9 0.5035 0.4965 0.2500 1
Cl10 0.6471 0.8235 0.5948 1
Cl11 0.1765 0.3529 0.9052 1
Cl12 0.6471 0.8235 0.9052 1
Cl13 0.0069 0.5035 0.7500 1
Cl14 0.8235 0.6471 0.4052 1
Cl15 0.4965 0.9931 0.7500 1
Cl16 0.1765 0.8235 0.9052 1
Cl17 0.1765 0.8235 0.5948 1
Cl18 0.8235 0.6471 0.0948 1
Ru1 0.3333 0.6667 0.8265 1
Ru2 0.6667 0.3333 0.1735 1
Ru3 0.6667 0.3333 0.3265 1
Ru4 0.3333 0.6667 0.6735 1



No. 4
# KRuCl5 (PBE-GGA, optimized geometry)
# **Energy relative to the elements, uncorrected**: -19.965 kcal/mol of atoms
data_KRuCl5
_cell_length_a 7.8348
_cell_length_b 7.8348
_cell_length_c 10.0733
_cell_angle_alpha 80.99
_cell_angle_beta 120.23
_cell_angle_gamma 123.64
_symmetry_space_group_name_H-M 'P 1'
_symmetry_Int_Tables_number 1
_symmetry_space_group_name_Hall 'P 1'
loop_
_atom_site_label
_atom_site_fract_x
_atom_site_fract_y
_atom_site_fract_z
_atom_site_occupancy
Ru1 0.0000 0.0000 0.0000 1
Ru2 0.5000 0.0000 0.5000 1
Cl1 0.3071 0.6557 0.3947 1
Cl2 0.3496 0.0996 0.2500 1
Cl3 0.8786 0.6536 0.9731 1
Cl4 0.1214 0.3464 0.0269 1
Cl5 0.6504 0.9004 0.7500 1
Cl6 0.7611 0.9124 0.1053 1
Cl7 0.1806 0.9055 0.5269 1
Cl8 0.2389 0.0876 0.8947 1
Cl9 0.8194 0.0945 0.4731 1
Cl10 0.6929 0.3443 0.6053 1
K1 0.7715 0.5215 0.2500 1
K2 0.2285 0.4785 0.7500 1



No. 5
# K6RuCl12 (PBE-GGA, optimized geometry)
# **Energy relative to the elements, uncorrected**: -29.976 kcal/mol of atoms
data_K6RuCl12
_cell_length_a 8.9726
_cell_length_b 8.9726
_cell_length_c 8.9726
_cell_angle_alpha 90.23
_cell_angle_beta 90.23
_cell_angle_gamma 90.23
_symmetry_space_group_name_H-M 'P 1'
_symmetry_Int_Tables_number 1
_symmetry_space_group_name_Hall 'P 1'
loop_
_atom_site_label
_atom_site_fract_x
_atom_site_fract_y
_atom_site_fract_z
_atom_site_occupancy
K1 0.6610 0.1679 0.3482 1
K2 0.3390 0.8321 0.6518 1
K3 0.6518 0.3390 0.8321 1
K4 0.1679 0.3482 0.6610 1
K5 0.8321 0.6518 0.3390 1
K6 0.3482 0.6610 0.1679 1
Cl1 0.9949 0.0060 0.2594 1
Cl2 0.3810 0.5537 0.8445 1
Cl3 0.2594 0.9949 0.0060 1
Cl4 0.0051 0.9940 0.7406 1
Cl5 0.8445 0.3810 0.5537 1
Cl6 0.7406 0.0051 0.9940 1
Cl7 0.6190 0.4463 0.1555 1
Cl8 0.4463 0.1555 0.6190 1
Cl9 0.1555 0.6190 0.4463 1
Cl10 0.5537 0.8445 0.3810 1
Cl11 0.0060 0.2594 0.9949 1
Cl12 0.9940 0.7406 0.0051 1
Ru1 0.0000 0.0000 0.0000 1



No. 6
# K2RuCl (PBE-GGA, optimized geometry)
# **Energy relative to the elements, uncorrected**: 2.304 kcal/mol of atoms
# **Polymorph energy (0 for the lowest one)**: 0.32 eV per formula unit
data_K2RuCl
_cell_length_a 3.6972
_cell_length_b 3.6972
_cell_length_c 9.9320
_cell_angle_alpha 82.02
_cell_angle_beta 82.02
_cell_angle_gamma 54.55
_symmetry_space_group_name_H-M 'P 1'
_symmetry_Int_Tables_number 1
_symmetry_space_group_name_Hall 'P 1'
loop_
_atom_site_label
_atom_site_fract_x
_atom_site_fract_y
_atom_site_fract_z
_atom_site_occupancy
K1 0.4883 0.4883 0.5298 1
K2 0.0117 0.0117 0.9702 1
Ru1 0.2500 0.2500 0.2500 1
Cl1 0.7500 0.7500 0.7500 1